DFT (GGA-PBE) results for an optimized crystal structure of BeInIr.

Lattice parameters (Å, degrees): 5.193 5.193 5.193 144.29 146.53 49.75
Fractional positions:
Ir 0.372 0.372 0.000
In 0.668 0.668 0.000
Be 0.960 0.960 0.000

VASP energy: -5.297 eV per atom
magnetization: 0.00 μB per cell
calculated formation energy: -0.188 eV per atom
excess energy over the best structure of this formula in the dataset: 0.000 eV/f.u.